# PBE InGeO4, optimized geometry
data_InGeO4
_symmetry_space_group_name_H-M 'C m c m'
_symmetry_Int_Tables_number 63
_symmetry_space_group_name_Hall '-C 2c 2'
_cell_length_a 7.068
_cell_length_b 7.900
_cell_length_c 6.530
_cell_angle_alpha 90.00
_cell_angle_beta 90.00
_cell_angle_gamma 90.00
loop_
_atom_site_label
_atom_site_type_symbol
_atom_site_fract_x
_atom_site_fract_y
_atom_site_fract_z
_atom_site_occupancy
In1 In 0.000 0.067 0.250 1
Ge1 Ge 0.000 0.326 0.750 1
O1 O 0.000 0.172 0.550 1
O2 O 0.198 0.459 0.750 1
# Spin magnetization = 4.09 μB/cell

=====

# PBE In3GeO, optimized geometry
data_In3GeO
_symmetry_space_group_name_H-M 'P m -3 m'
_symmetry_Int_Tables_number 221
_symmetry_space_group_name_Hall '-P 4 2 3'
_cell_length_a 5.318
_cell_length_b 5.318
_cell_length_c 5.318
_cell_angle_alpha 90.00
_cell_angle_beta 90.00
_cell_angle_gamma 90.00
loop_
_atom_site_label
_atom_site_type_symbol
_atom_site_fract_x
_atom_site_fract_y
_atom_site_fract_z
_atom_site_occupancy
In1 In 0.000 0.000 0.500 1
Ge1 Ge 0.000 0.000 0.000 1
O1 O 0.500 0.500 0.500 1
# Spin magnetization = 0.00 μB/cell
# Energy above the most stable polymorph in this dataset = 3.59 eV/f.u.

=====

# PBE In3GeO, optimized geometry
data_In3GeO
_symmetry_space_group_name_H-M 'P m -3 m'
_symmetry_Int_Tables_number 221
_symmetry_space_group_name_Hall '-P 4 2 3'
_cell_length_a 4.806
_cell_length_b 4.806
_cell_length_c 4.806
_cell_angle_alpha 90.00
_cell_angle_beta 90.00
_cell_angle_gamma 90.00
loop_
_atom_site_label
_atom_site_type_symbol
_atom_site_fract_x
_atom_site_fract_y
_atom_site_fract_z
_atom_site_occupancy
In1 In 0.000 0.000 0.500 1
Ge1 Ge 0.500 0.500 0.500 1
O1 O 0.000 0.000 0.000 1
# Spin magnetization = 0.00 μB/cell
# Energy above the most stable polymorph in this dataset = 0.00 eV/f.u.

=====

# PBE InGeOsO2, optimized geometry
data_InGeOsO2
_symmetry_space_group_name_H-M 'P 4/m m m'
_symmetry_Int_Tables_number 123
_symmetry_space_group_name_Hall '-P 4 2'
_cell_length_a 3.684
_cell_length_b 3.684
_cell_length_c 7.492
_cell_angle_alpha 90.00
_cell_angle_beta 90.00
_cell_angle_gamma 90.00
loop_
_atom_site_label
_atom_site_type_symbol
_atom_site_fract_x
_atom_site_fract_y
_atom_site_fract_z
_atom_site_occupancy
In1 In 0.000 0.000 0.000 1
Ge1 Ge 0.000 0.000 0.500 1
Os1 Os 0.500 0.500 0.000 1
O1 O 0.000 0.500 0.500 1
# Spin magnetization = 1.33 μB/cell

=====

# PBE InGe2OsO, optimized geometry
data_InGe2OsO
_symmetry_space_group_name_H-M 'P 4/m m m'
_symmetry_Int_Tables_number 123
_symmetry_space_group_name_Hall '-P 4 2'
_cell_length_a 5.232
_cell_length_b 5.232
_cell_length_c 3.904
_cell_angle_alpha 90.00
_cell_angle_beta 90.00
_cell_angle_gamma 90.00
loop_
_atom_site_label
_atom_site_type_symbol
_atom_site_fract_x
_atom_site_fract_y
_atom_site_fract_z
_atom_site_occupancy
In1 In 0.000 0.000 0.000 1
Ge1 Ge 0.000 0.500 0.000 1
Os1 Os 0.500 0.500 0.500 1
O1 O 0.000 0.000 0.500 1
# Spin magnetization = 2.01 μB/cell

=====

# PBE InGeP2O, optimized geometry
data_InGeP2O
_symmetry_space_group_name_H-M 'P 4/m m m'
_symmetry_Int_Tables_number 123
_symmetry_space_group_name_Hall '-P 4 2'
_cell_length_a 5.232
_cell_length_b 5.232
_cell_length_c 4.033
_cell_angle_alpha 90.00
_cell_angle_beta 90.00
_cell_angle_gamma 90.00
loop_
_atom_site_label
_atom_site_type_symbol
_atom_site_fract_x
_atom_site_fract_y
_atom_site_fract_z
_atom_site_occupancy
In1 In 0.000 0.000 0.000 1
Ge1 Ge 0.500 0.500 0.500 1
P1 P 0.000 0.500 0.000 1
O1 O 0.000 0.000 0.500 1
# Spin magnetization = 0.00 μB/cell
# Energy above the most stable polymorph in this dataset = 2.59 eV/f.u.

=====

# PBE InGePO2, optimized geometry
data_InGePO2
_symmetry_space_group_name_H-M 'P 4/m m m'
_symmetry_Int_Tables_number 123
_symmetry_space_group_name_Hall '-P 4 2'
_cell_length_a 3.772
_cell_length_b 3.772
_cell_length_c 5.129
_cell_angle_alpha 90.00
_cell_angle_beta 90.00
_cell_angle_gamma 90.00
loop_
_atom_site_label
_atom_site_type_symbol
_atom_site_fract_x
_atom_site_fract_y
_atom_site_fract_z
_atom_site_occupancy
In1 In 0.000 0.000 0.000 1
Ge1 Ge 0.500 0.500 0.500 1
P1 P 0.500 0.500 0.000 1
O1 O 0.000 0.500 0.500 1
# Spin magnetization = 0.07 μB/cell
# Energy above the most stable polymorph in this dataset = 0.00 eV/f.u.

=====

# PBE InGePO2, optimized geometry
data_InGePO2
_symmetry_space_group_name_H-M 'P 4/m m m'
_symmetry_Int_Tables_number 123
_symmetry_space_group_name_Hall '-P 4 2'
_cell_length_a 4.052
_cell_length_b 4.052
_cell_length_c 5.456
_cell_angle_alpha 90.00
_cell_angle_beta 90.00
_cell_angle_gamma 90.00
loop_
_atom_site_label
_atom_site_type_symbol
_atom_site_fract_x
_atom_site_fract_y
_atom_site_fract_z
_atom_site_occupancy
In1 In 0.000 0.000 0.000 1
Ge1 Ge 0.500 0.500 0.500 1
P1 P 0.000 0.000 0.500 1
O1 O 0.000 0.500 0.000 1
# Spin magnetization = 0.98 μB/cell
# Energy above the most stable polymorph in this dataset = 2.93 eV/f.u.

=====

# PBE InGeP2O, optimized geometry
data_InGeP2O
_symmetry_space_group_name_H-M 'P 4/m m m'
_symmetry_Int_Tables_number 123
_symmetry_space_group_name_Hall '-P 4 2'
_cell_length_a 5.015
_cell_length_b 5.015
_cell_length_c 3.609
_cell_angle_alpha 90.00
_cell_angle_beta 90.00
_cell_angle_gamma 90.00
loop_
_atom_site_label
_atom_site_type_symbol
_atom_site_fract_x
_atom_site_fract_y
_atom_site_fract_z
_atom_site_occupancy
In1 In 0.000 0.000 0.000 1
Ge1 Ge 0.500 0.500 0.500 1
P1 P 0.000 0.500 0.500 1
O1 O 0.500 0.500 0.000 1
# Spin magnetization = 0.00 μB/cell
# Energy above the most stable polymorph in this dataset = 0.00 eV/f.u.

=====

# PBE InGe2PO, optimized geometry
data_InGe2PO
_symmetry_space_group_name_H-M 'P 4/m m m'
_symmetry_Int_Tables_number 123
_symmetry_space_group_name_Hall '-P 4 2'
_cell_length_a 5.335
_cell_length_b 5.335
_cell_length_c 3.947
_cell_angle_alpha 90.00
_cell_angle_beta 90.00
_cell_angle_gamma 90.00
loop_
_atom_site_label
_atom_site_type_symbol
_atom_site_fract_x
_atom_site_fract_y
_atom_site_fract_z
_atom_site_occupancy
In1 In 0.000 0.000 0.000 1
Ge1 Ge 0.000 0.500 0.000 1
P1 P 0.500 0.500 0.500 1
O1 O 0.000 0.000 0.500 1
# Spin magnetization = 0.00 μB/cell

=====

# PBE PaInGeO6, optimized geometry
data_PaInGeO6
_symmetry_space_group_name_H-M 'P -3 1 c'
_symmetry_Int_Tables_number 163
_symmetry_space_group_name_Hall '-P 3 2c'
_cell_length_a 5.2630
_cell_length_b 5.2630
_cell_length_c 9.5272
_cell_angle_alpha 90.00
_cell_angle_beta 90.00
_cell_angle_gamma 120.00
loop_
_atom_site_label
_atom_site_type_symbol
_atom_site_fract_x
_atom_site_fract_y
_atom_site_fract_z
_atom_site_occupancy
Pa1 Pa 0.0000 0.0000 0.0000 1
In1 In 0.3333 0.6667 0.2500 1
Ge1 Ge 0.3333 0.6667 0.7500 1
O1 O 0.0364 0.3602 0.6339 1
# Spin magnetization = 0.00 μB/cell

=====

# PBE RbInGe2O6, optimized geometry
data_RbInGe2O6
_symmetry_space_group_name_H-M 'C 1 2/c 1'
_symmetry_Int_Tables_number 15
_symmetry_space_group_name_Hall '-C 2yc'
_cell_length_a 10.654
_cell_length_b 11.742
_cell_length_c 5.700
_cell_angle_alpha 90.00
_cell_angle_beta 106.14
_cell_angle_gamma 90.00
loop_
_atom_site_label
_atom_site_type_symbol
_atom_site_fract_x
_atom_site_fract_y
_atom_site_fract_z
_atom_site_occupancy
Rb1 Rb 0.000 0.097 0.250 1
In1 In 0.000 0.251 0.750 1
Ge1 Ge 0.202 0.420 0.188 1
O1 O 0.096 0.305 0.089 1
O2 O 0.132 0.117 0.737 1
O3 O 0.171 0.466 0.468 1
# Spin magnetization = 0.00 μB/cell

=====

# PBE Rb2InGeO4, optimized geometry
data_Rb2InGeO4
_symmetry_space_group_name_H-M 'I -4'
_symmetry_Int_Tables_number 82
_symmetry_space_group_name_Hall 'I -4'
_cell_length_a 6.131
_cell_length_b 6.131
_cell_length_c 8.368
_cell_angle_alpha 90.00
_cell_angle_beta 90.00
_cell_angle_gamma 90.00
loop_
_atom_site_label
_atom_site_type_symbol
_atom_site_fract_x
_atom_site_fract_y
_atom_site_fract_z
_atom_site_occupancy
Rb1 Rb 0.000 0.000 0.000 1
Rb2 Rb 0.000 0.500 0.250 1
In1 In 0.000 0.500 0.750 1
Ge1 Ge 0.000 0.000 0.500 1
O1 O 0.126 0.786 0.618 1
# Spin magnetization = 0.00 μB/cell

=====

# PBE RbInGeO4, optimized geometry
data_RbInGeO4
_symmetry_space_group_name_H-M 'P 1 21/m 1'
_symmetry_Int_Tables_number 11
_symmetry_space_group_name_Hall '-P 2yb'
_cell_length_a 5.649
_cell_length_b 5.872
_cell_length_c 7.718
_cell_angle_alpha 90.00
_cell_angle_beta 109.20
_cell_angle_gamma 90.00
loop_
_atom_site_label
_atom_site_type_symbol
_atom_site_fract_x
_atom_site_fract_y
_atom_site_fract_z
_atom_site_occupancy
Rb1 Rb 0.192 0.250 0.439 1
In1 In 0.306 0.250 0.963 1
Ge1 Ge 0.236 0.750 0.148 1
O1 O 0.005 0.750 0.929 1
O2 O 0.049 0.750 0.292 1
O3 O 0.465 0.525 0.169 1
# Spin magnetization = 0.00 μB/cell

=====

# PBE TaInGeO6, optimized geometry
data_TaInGeO6
_symmetry_space_group_name_H-M 'P -3 1 c'
_symmetry_Int_Tables_number 163
_symmetry_space_group_name_Hall '-P 3 2c'
_cell_length_a 5.1384
_cell_length_b 5.1384
_cell_length_c 9.2950
_cell_angle_alpha 90.00
_cell_angle_beta 90.00
_cell_angle_gamma 120.00
loop_
_atom_site_label
_atom_site_type_symbol
_atom_site_fract_x
_atom_site_fract_y
_atom_site_fract_z
_atom_site_occupancy
Ta1 Ta 0.3333 0.6667 0.2500 1
In1 In 0.0000 0.0000 0.0000 1
Ge1 Ge 0.3333 0.6667 0.7500 1
O1 O 0.0114 0.3632 0.6363 1
# Spin magnetization = 0.00 μB/cell

=====

# PBE TaInGe2O8, optimized geometry
data_TaInGe2O8
_symmetry_space_group_name_H-M 'I -4 m 2'
_symmetry_Int_Tables_number 119
_symmetry_space_group_name_Hall 'I -4 -2'
_cell_length_a 6.689
_cell_length_b 6.689
_cell_length_c 6.320
_cell_angle_alpha 90.00
_cell_angle_beta 90.00
_cell_angle_gamma 90.00
loop_
_atom_site_label
_atom_site_type_symbol
_atom_site_fract_x
_atom_site_fract_y
_atom_site_fract_z
_atom_site_occupancy
Ta1 Ta 0.000 0.000 0.000 1
In1 In 0.000 0.500 0.750 1
Ge1 Ge 0.000 0.000 0.500 1
Ge2 Ge 0.000 0.500 0.250 1
O1 O 0.000 0.180 0.705 1
O2 O 0.000 0.301 0.066 1
# Spin magnetization = 0.00 μB/cell

=====

# PBE InTcGeO6, optimized geometry
data_InTcGeO6
_symmetry_space_group_name_H-M 'P -3 1 c'
_symmetry_Int_Tables_number 163
_symmetry_space_group_name_Hall '-P 3 2c'
_cell_length_a 5.1122
_cell_length_b 5.1122
_cell_length_c 9.2315
_cell_angle_alpha 90.00
_cell_angle_beta 90.00
_cell_angle_gamma 120.00
loop_
_atom_site_label
_atom_site_type_symbol
_atom_site_fract_x
_atom_site_fract_y
_atom_site_fract_z
_atom_site_occupancy
In1 In 0.0000 0.0000 0.0000 1
Tc1 Tc 0.3333 0.6667 0.2500 1
Ge1 Ge 0.3333 0.6667 0.7500 1
O1 O 0.0078 0.3626 0.6366 1
# Spin magnetization = 4.01 μB/cell

=====

# PBE TiInGeO2, optimized geometry
data_TiInGeO2
_symmetry_space_group_name_H-M 'P 4/m m m'
_symmetry_Int_Tables_number 123
_symmetry_space_group_name_Hall '-P 4 2'
_cell_length_a 3.941
_cell_length_b 3.941
_cell_length_c 5.263
_cell_angle_alpha 90.00
_cell_angle_beta 90.00
_cell_angle_gamma 90.00
loop_
_atom_site_label
_atom_site_type_symbol
_atom_site_fract_x
_atom_site_fract_y
_atom_site_fract_z
_atom_site_occupancy
Ti1 Ti 0.000 0.000 0.000 1
In1 In 0.500 0.500 0.000 1
Ge1 Ge 0.000 0.000 0.500 1
O1 O 0.000 0.500 0.500 1
# Spin magnetization = 0.00 μB/cell

=====

# PBE TiInGe2O8, optimized geometry
data_TiInGe2O8
_symmetry_space_group_name_H-M 'I -4 m 2'
_symmetry_Int_Tables_number 119
_symmetry_space_group_name_Hall 'I -4 -2'
_cell_length_a 6.647
_cell_length_b 6.647
_cell_length_c 6.369
_cell_angle_alpha 90.00
_cell_angle_beta 90.00
_cell_angle_gamma 90.00
loop_
_atom_site_label
_atom_site_type_symbol
_atom_site_fract_x
_atom_site_fract_y
_atom_site_fract_z
_atom_site_occupancy
Ti1 Ti 0.000 0.000 0.000 1
In1 In 0.000 0.500 0.750 1
Ge1 Ge 0.000 0.000 0.500 1
Ge2 Ge 0.000 0.500 0.250 1
O1 O 0.000 0.182 0.702 1
O2 O 0.000 0.298 0.068 1
# Spin magnetization = 2.00 μB/cell

=====

# PBE Tl2InGeO6, optimized geometry
data_Tl2InGeO6
_symmetry_space_group_name_H-M 'P 4 m m'
_symmetry_Int_Tables_number 99
_symmetry_space_group_name_Hall 'P 4 -2'
_cell_length_a 5.337
_cell_length_b 5.337
_cell_length_c 5.055
_cell_angle_alpha 90.00
_cell_angle_beta 90.00
_cell_angle_gamma 90.00
loop_
_atom_site_label
_atom_site_type_symbol
_atom_site_fract_x
_atom_site_fract_y
_atom_site_fract_z
_atom_site_occupancy
Tl1 Tl 0.000 0.500 0.000 1
In1 In 0.000 0.000 0.551 1
Ge1 Ge 0.500 0.500 0.586 1
O1 O 0.000 0.000 0.143 1
O2 O 0.264 0.264 0.711 1
O3 O 0.500 0.500 0.231 1
# Spin magnetization = 0.00 μB/cell

=====

no.,formation energy (no corrections) (eV per atom),D(E_F) (states/eV/atom)
1,-1.17,0.7047
2,0.62,0.7066
3,-0.10,0.5892
4,0.38,0.7423
5,1.28,1.2814
6,0.66,1.2053
7,-0.52,0.4485
8,0.07,0.7913
9,0.14,0.6054
10,0.63,0.8508
11,-2.33,0.0000
12,-1.57,0.0000
13,-1.52,0.2128
14,-1.62,0.0000
15,-2.04,0.0000
16,-1.90,0.0000
17,-1.44,0.4466
18,-0.10,0.8455
19,-1.67,0.8605
20,-0.97,0.1787